No. 1
DFT (PBE) results for a relaxed AgRuSe2 crystal.

The structure belongs to space group C2/m (No. 12); the cell edges are 6.892, 3.208 and 8.220 Å and the angles 90.00°, 107.47° and 90.00°. The asymmetric unit holds Ag at (0.000, 0.000, 0.000), Ru at (0.000, 0.500, 0.500) and Se at (0.136, 0.000, 0.324).

The total magnetization is 0.0 μB per formula unit. As for the uncorrected formation energy: -0.4 eV per formula unit. The value obtained for the relative energy among the computed polymorphs is 0.0 meV/atom.

No. 2
DFT (PBE) results for a relaxed MgCrRu3 crystal.

The structure belongs to space group Pm-3m (No. 221); the cell edges are 4.438, 4.438 and 4.438 Å and the angles 90.00°, 90.00° and 90.00°. The asymmetric unit holds Mg at (0.000, 0.000, 0.000), Cr at (0.500, 0.500, 0.500) and Ru at (0.000, 0.500, 0.500).

The calculation puts the formation energy from the elements at 0.8878 eV per atom. The total magnetization is 0.0 μB per formula unit. The value obtained for the relative energy among the computed polymorphs is 0.0 meV/atom.

No. 3
DFT (PBE) results for a relaxed CsZrNb2O8 crystal.

The structure belongs to space group P-3 (No. 147); the cell edges are 6.0563, 6.0563 and 8.3278 Å and the angles 90.00°, 90.00° and 120.00°. The asymmetric unit holds Cs at (0.0000, 0.0000, 0.0000), Zr at (0.0000, 0.0000, 0.5000), Nb at (0.3333, 0.6667, 0.7194), O at (0.1609, 0.3237, 0.6497) and O at (0.3333, 0.6667, 0.9384).

The total magnetization is 1.1 μB per formula unit. As for the uncorrected formation energy: -29.6 eV per formula unit.

No. 4
DFT (PBE) results for a relaxed RbPr2Y3Te6 crystal.

The structure belongs to space group C2/m (No. 12); the cell edges are 19.904, 4.418 and 9.278 Å and the angles 90.00°, 105.20° and 90.00°. The asymmetric unit holds Rb at (0.000, 0.000, 0.000), Pr at (0.173, 0.500, 0.351), Y at (0.000, 0.000, 0.500), Y at (0.163, 0.500, 0.824), Te at (0.000, 0.500, 0.273), Te at (0.161, 0.000, 0.593) and Te at (0.176, 0.000, 0.080).

The total magnetization is 0.0 μB per formula unit. As for the uncorrected formation energy: -16.2 eV per formula unit.

No. 5
DFT (PBE) results for a relaxed LiInS2 crystal.

The structure belongs to space group P3m1 (No. 156); the cell edges are 4.0066, 4.0066 and 7.0549 Å and the angles 90.00°, 90.00° and 120.00°. The asymmetric unit holds Li at (0.0000, 0.0000, 0.0000), In at (0.3333, 0.6667, 0.5964), S at (0.3333, 0.6667, 0.9342) and S at (0.6667, 0.3333, 0.4352).

The total magnetization is 0.0 μB per formula unit. As for the uncorrected formation energy: -3.3 eV per formula unit.

No. 6
DFT (PBE) results for a relaxed Ga2IBr crystal.

The structure belongs to space group R-3m (No. 166, hexagonal axes); the cell edges are 4.5738, 4.5738 and 22.3754 Å and the angles 90.00°, 90.00° and 120.00°. The asymmetric unit holds Ga at (0.0000, 0.0000, 0.2447), I at (0.0000, 0.0000, 0.0000) and Br at (0.0000, 0.0000, 0.5000).

The total magnetization is 0.0 μB per formula unit. As for the uncorrected formation energy: -1.7 eV per formula unit. The value obtained for the relative energy among the computed polymorphs is 32.4 meV/atom.

No. 7
DFT (PBE) results for a relaxed ZrFe2 crystal.

The structure belongs to space group P6_3/mmc (No. 194); the cell edges are 4.9798, 4.9798 and 16.2528 Å and the angles 90.00°, 90.00° and 120.00°. The asymmetric unit holds Zr at (0.0000, 0.0000, 0.0941), Zr at (0.3333, 0.6667, 0.1564), Fe at (0.0000, 0.5000, 0.0000), Fe at (0.1652, 0.3304, 0.7500) and Fe at (0.3333, 0.6667, 0.6251).

The calculation puts the formation energy from the elements at -0.2737 eV per atom. The total magnetization is 3.1 μB per formula unit.

No. 8
DFT (PBE) results for a relaxed Sm2SbHRh6 crystal.

The structure belongs to space group Immm (No. 71); the cell edges are 6.161, 6.381 and 8.857 Å and the angles 90.00°, 90.00° and 90.00°. The asymmetric unit holds Sm at (0.000, 0.000, 0.246), Sb at (0.000, 0.500, 0.500), H at (0.000, 0.500, 0.000), Rh at (0.000, 0.500, 0.219) and Rh at (0.224, 0.286, 0.000).

The calculated total energy is -6.57 eV/atom. The total magnetization is 0.0 μB per formula unit.

No. 9
DFT (PBE) results for a relaxed DyGaH crystal.

The structure belongs to space group Pnma (No. 62); the cell edges are 7.769, 4.033 and 6.055 Å and the angles 90.00°, 90.00° and 90.00°. The asymmetric unit holds Dy at (0.171, 0.250, 0.116), Ga at (0.033, 0.250, 0.614) and H at (0.115, 0.750, 0.952).

The total magnetization is 0.0 μB per formula unit. The value obtained for the relative energy among the computed polymorphs is 0.0 meV/atom.

No. 10
DFT (PBE) results for a relaxed Be2AsPb crystal.

The structure belongs to space group Cmm2 (No. 35); the cell edges are 3.919, 5.205 and 7.678 Å and the angles 90.00°, 90.00° and 90.00°. The asymmetric unit holds Be at (0.000, 0.000, 0.000), Be at (0.000, 0.500, 0.138), As at (0.000, 0.500, 0.845) and Pb at (0.000, 0.000, 0.378).

The calculation puts the formation energy from the elements at 0.3297 eV per atom. The total magnetization is 0.0 μB per formula unit. The value obtained for the relative energy among the computed polymorphs is 117.0 meV/atom.

No. 11
DFT (PBE) results for a relaxed Tb3SnB2Pt9 crystal.

The structure belongs to space group P-3m1 (No. 164); the cell edges are 5.7730, 5.7730 and 9.4545 Å and the angles 90.00°, 90.00° and 120.00°. The asymmetric unit holds Tb at (0.0000, 0.0000, 0.0000), Tb at (0.3333, 0.6667, 0.6200), Sn at (0.0000, 0.0000, 0.5000), B at (0.3333, 0.6667, 0.1438), Pt at (0.0000, 0.5000, 0.0000) and Pt at (0.1664, 0.3328, 0.2783).

The calculation puts the formation energy from the elements at -0.8143 eV per atom. The total magnetization is 0.0 μB per formula unit.

No. 12
DFT (PBE) results for a relaxed Sm4Zn2In crystal.

The structure belongs to space group R-3m (No. 166, hexagonal axes); the cell edges are 5.1726, 5.1726 and 24.8186 Å and the angles 90.00°, 90.00° and 120.00°. The asymmetric unit holds Sm at (0.0000, 0.0000, 0.1144), Sm at (0.0000, 0.0000, 0.3675), Zn at (0.0000, 0.0000, 0.2444) and In at (0.0000, 0.0000, 0.5000).

The calculation puts the formation energy from the elements at -0.2273 eV per atom. The total magnetization is 0.0 μB per formula unit. The value obtained for the relative energy among the computed polymorphs is 0.0 meV/atom.